(1)
A plane-wave DFT calculation with PBE-GGA was carried out for NaMnBr after structural relaxation.

Computed properties:
M_tot = 0.00 Bohr magnetons per cell
crystal system = monoclinic
ΔE_f (raw) = -360.0 meV per atom
ΔE to the lowest computed polymorph = 11 meV/atom
space group = No. 8

Lattice parameters (Å, degrees): 10.6515 3.9084 7.9058 90.00 110.88 90.00
Closest atoms and distances in Å follow each position.
Element x y z (fractional)
Na: 0.1405 0.0000 0.0966  6 Br 2.93-3.14
Na: 0.1405 0.5000 0.5966  6 Br 2.93-3.14
Na: 0.7857 0.0000 0.5727  3 Br 3.04-3.15, 4 Mn 3.28-3.29
Na: 0.7857 0.5000 0.0727  3 Br 3.04-3.15, 4 Mn 3.28-3.29
Mn: 0.5558 0.0000 0.1270  3 Mn 2.43-2.51, 1 Br 2.68
Mn: 0.5558 0.5000 0.6270  3 Mn 2.43-2.51, 1 Br 2.68
Mn: 0.5482 0.0000 0.8063  3 Mn 2.43-2.51, 1 Br 2.61
Mn: 0.5482 0.5000 0.3063  3 Mn 2.43-2.51, 1 Br 2.61
Br: 0.3180 0.0000 0.8539  2 Mn 2.61-2.68
Br: 0.3180 0.5000 0.3539  2 Mn 2.61-2.68
Br: 0.9719 0.0000 0.3396  6 Na 2.93-3.15
Br: 0.9719 0.5000 0.8396  6 Na 2.93-3.15

(2)
A plane-wave DFT calculation with PBE-GGA was carried out for Na3MnBr6 after structural relaxation.

Computed properties:
M_tot = 8.00 Bohr magnetons per cell
crystal system = monoclinic
ΔE_f (raw) = -1159.9 meV per atom
ΔE to the lowest computed polymorph = 5 meV/atom
space group = No. 14

Lattice parameters (Å, degrees): 7.0404 7.7492 10.4772 90.00 94.17 90.00
Closest atoms and distances in Å follow each position.
Element x y z (fractional)
Na: 0.4529 0.0878 0.7667  5 Br 2.99-3.09
Na: 0.5000 0.5000 0.0000  4 Br 2.86-3.00
Na: 0.5471 0.9122 0.2333  5 Br 2.99-3.09
Na: 0.9529 0.4122 0.2667  5 Br 2.99-3.09
Na: 0.0000 0.0000 0.5000  4 Br 2.86-3.00
Na: 0.0471 0.5878 0.7333  5 Br 2.99-3.09
Mn: 0.5000 0.5000 0.5000  4 Br 2.47-2.48
Mn: 0.0000 0.0000 0.0000  4 Br 2.47-2.48
Br: 0.2872 0.8330 0.9569  1 Mn 2.47
Br: 0.3239 0.8005 0.5909  1 Mn 2.83, 3 Na 2.86-3.03
Br: 0.3587 0.5641 0.2814  1 Mn 2.48
Br: 0.6413 0.4359 0.7186  1 Mn 2.48
Br: 0.6761 0.1995 0.4091  1 Mn 2.83, 3 Na 2.86-3.03
Br: 0.7128 0.1670 0.0431  1 Mn 2.47
Br: 0.7872 0.6670 0.4569  1 Mn 2.47
Br: 0.8239 0.6995 0.0909  1 Mn 2.83, 3 Na 2.86-3.03
Br: 0.8587 0.9359 0.7814  1 Mn 2.48
Br: 0.1413 0.0641 0.2186  1 Mn 2.48
Br: 0.1761 0.3005 0.9091  1 Mn 2.83, 3 Na 2.86-3.03
Br: 0.2128 0.3330 0.5431  1 Mn 2.47

(3)
A plane-wave DFT calculation with PBE-GGA was carried out for NaMn3Br8 after structural relaxation.

Computed properties:
M_tot = 14.00 Bohr magnetons per cell
crystal system = monoclinic
ΔE_f (raw) = -853.4 meV per atom
space group = No. 12

Lattice parameters (Å, degrees): 7.7996 7.9278 7.9516 116.93 90.00 119.47
Closest atoms and distances in Å follow each position.
Element x y z (fractional)
Na: 0.0000 0.0000 0.0000  6 Br 2.84-2.89
Mn: 0.5000 0.0000 0.0000  4 Br 2.54
Mn: 0.5000 0.5000 0.0000  6 Br 2.63-2.76
Mn: 0.0000 0.5000 0.0000  6 Br 2.63-2.76
Br: 0.2567 0.5133 0.7706  3 Mn 2.70-2.87
Br: 0.7433 0.4867 0.2294  3 Mn 2.70-2.87
Br: 0.2939 0.0332 0.7840  2 Mn 2.54-2.76
Br: 0.7393 0.0332 0.7840  2 Mn 2.54-2.76
Br: 0.7545 0.5090 0.7827  2 Mn 2.63, 1 Na 2.89
Br: 0.2455 0.4910 0.2173  2 Mn 2.63, 1 Na 2.89
Br: 0.2607 0.9668 0.2160  2 Mn 2.54-2.76
Br: 0.7061 0.9668 0.2160  2 Mn 2.54-2.76

(4)
A plane-wave DFT calculation with PBE-GGA was carried out for Na6MnBr12 after structural relaxation.

Computed properties:
M_tot = 5.08 Bohr magnetons per cell
crystal system = trigonal
ΔE_f (raw) = -1021.2 meV per atom
space group = No. 148

Lattice parameters (Å, degrees): 8.4287 8.4287 8.4287 93.80 93.80 93.80
Closest atoms and distances in Å follow each position.
Element x y z (fractional)
Na: 0.1540 0.3072 0.6545  6 Br 2.96-3.11
Na: 0.6928 0.3455 0.8460  6 Br 2.96-3.11
Na: 0.3455 0.8460 0.6928  6 Br 2.96-3.11
Na: 0.8460 0.6928 0.3455  6 Br 2.96-3.11
Na: 0.3072 0.6545 0.1540  6 Br 2.96-3.11
Na: 0.6545 0.1540 0.3072  6 Br 2.96-3.11
Mn: 0.0000 0.0000 0.0000  6 Br 2.47
Br: 0.4587 0.1691 0.5880  4 Na 2.96-3.07, 1 Br 3.26
Br: 0.1691 0.5880 0.4587  4 Na 2.96-3.07, 1 Br 3.26
Br: 0.5880 0.4587 0.1691  4 Na 2.96-3.07, 1 Br 3.26
Br: 0.5413 0.8309 0.4120  4 Na 2.96-3.07, 1 Br 3.26
Br: 0.8309 0.4120 0.5413  4 Na 2.96-3.07, 1 Br 3.26
Br: 0.4120 0.5413 0.8309  4 Na 2.96-3.07, 1 Br 3.26
Br: 0.0105 0.9674 0.7074  1 Mn 2.47
Br: 0.2926 0.9895 0.0326  1 Mn 2.47
Br: 0.0326 0.2926 0.9895  1 Mn 2.47
Br: 0.9895 0.0326 0.2926  1 Mn 2.47
Br: 0.7074 0.0105 0.9674  1 Mn 2.47
Br: 0.9674 0.7074 0.0105  1 Mn 2.47

(5)
A plane-wave DFT calculation with PBE-GGA was carried out for NaMnBr3 after structural relaxation.

Computed properties:
M_tot = 10.00 Bohr magnetons per cell
crystal system = monoclinic
ΔE_f (raw) = -1065.9 meV per atom
ΔE to the lowest computed polymorph = 15 meV/atom
space group = No. 11

Lattice parameters (Å, degrees): 4.2052 7.7390 10.5128 90.41 90.00 90.00
Closest atoms and distances in Å follow each position.
Element x y z (fractional)
Na: 0.2500 0.2514 0.5739  6 Br 3.00-3.13
Na: 0.7500 0.7486 0.4261  6 Br 3.00-3.13
Mn: 0.2500 0.2457 0.1879  4 Br 2.50-2.54
Mn: 0.7500 0.7543 0.8121  4 Br 2.50-2.54
Br: 0.7500 0.0013 0.6599  1 Mn 2.50
Br: 0.7500 0.5035 0.6603  1 Mn 2.50
Br: 0.2500 0.9987 0.3401  1 Mn 2.50
Br: 0.2500 0.4965 0.3397  1 Mn 2.50
Br: 0.2500 0.7540 0.9480  2 Mn 2.54
Br: 0.7500 0.2460 0.0520  2 Mn 2.54

(6)
A plane-wave DFT calculation with PBE-GGA was carried out for NaMnBr3 after structural relaxation.

Computed properties:
M_tot = 10.00 Bohr magnetons per cell
crystal system = orthorhombic
ΔE_f (raw) = -1081.0 meV per atom
ΔE to the lowest computed polymorph = 0 meV/atom
space group = No. 40

Lattice parameters (Å, degrees): 4.2231 7.0254 12.5045 106.31 90.00 90.00
Closest atoms and distances in Å follow each position.
Element x y z (fractional)
Na: 0.2500 0.0363 0.6448  6 Br 2.93-3.24
Na: 0.7500 0.3915 0.3552  6 Br 2.93-3.24
Mn: 0.2500 0.7766 0.2452  4 Br 2.45-2.57
Mn: 0.7500 0.5314 0.7548  4 Br 2.45-2.57
Br: 0.7500 0.8834 0.7612  1 Mn 2.45
Br: 0.7500 0.5944 0.1523  2 Mn 2.57
Br: 0.7500 0.2744 0.5686  1 Mn 2.51
Br: 0.2500 0.4421 0.8477  2 Mn 2.57
Br: 0.2500 0.1222 0.2388  1 Mn 2.45
Br: 0.2500 0.7058 0.4314  1 Mn 2.51

(7)
A plane-wave DFT calculation with PBE-GGA was carried out for NaMnBr5 after structural relaxation.

Computed properties:
M_tot = 6.35 Bohr magnetons per cell
crystal system = monoclinic
ΔE_f (raw) = -762.7 meV per atom
ΔE to the lowest computed polymorph = 19 meV/atom
space group = No. 15

Lattice parameters (Å, degrees): 8.0626 8.0626 9.7874 72.09 72.09 51.52
Closest atoms and distances in Å follow each position.
Element x y z (fractional)
Na: 0.4410 0.5590 0.2500  5 Br 2.99-3.03
Na: 0.5590 0.4410 0.7500  5 Br 2.99-3.03
Mn: 0.0000 0.0000 0.0000  6 Br 2.42-2.60
Mn: 0.0000 0.0000 0.5000  6 Br 2.42-2.60
Br: 0.1064 0.6403 0.1123  1 Mn 2.42
Br: 0.1108 0.6382 0.5164  1 Mn 2.43
Br: 0.6403 0.1064 0.6123  1 Mn 2.42
Br: 0.8730 0.1270 0.2500  2 Mn 2.60
Br: 0.3618 0.8892 0.9836  1 Mn 2.43
Br: 0.6382 0.1108 0.0164  1 Mn 2.43
Br: 0.1270 0.8730 0.7500  2 Mn 2.60
Br: 0.3597 0.8936 0.3877  1 Mn 2.42
Br: 0.8892 0.3618 0.4836  1 Mn 2.43
Br: 0.8936 0.3597 0.8877  1 Mn 2.42

(8)
A plane-wave DFT calculation with PBE-GGA was carried out for NaMnBr after structural relaxation.

Computed properties:
M_tot = 9.40 Bohr magnetons per cell
crystal system = monoclinic
ΔE_f (raw) = -53.7 meV per atom
ΔE to the lowest computed polymorph = 318 meV/atom
space group = No. 8

Lattice parameters (Å, degrees): 6.9100 3.6884 6.2877 90.00 107.79 90.00
Closest atoms and distances in Å follow each position.
Element x y z (fractional)
Na: 0.3980 0.0000 0.9621  3 Br 3.05, 3 Mn 3.27-3.28
Na: 0.3980 0.5000 0.4621  3 Br 3.05, 3 Mn 3.27-3.28
Mn: 0.0184 0.0000 0.1717  3 Br 2.82-2.83
Mn: 0.0184 0.5000 0.6717  3 Br 2.82-2.83
Br: 0.7331 0.0000 0.4105  3 Mn 2.82-2.83, 3 Na 3.05
Br: 0.7331 0.5000 0.9105  3 Mn 2.82-2.83, 3 Na 3.05

> What is the formula in the eighth record?

NaMnBr

> ΔE_f (raw) of number 4 (Na6MnBr12)?

-1021.2 meV per atom

> The lowest ΔE_f (raw) belongs to which entry?

Na3MnBr6

> M_tot of number 5 (NaMnBr3)?

10.00 Bohr magnetons per cell